Run a
An optimized crystal structure of SrGdBi2. Source: Alexandria via LeMat-Bulk, functional PBE.

Lattice parameters (Å, degrees): 3.895 3.895 8.618 90.00 90.00 90.00
Each line ends with the local moment (μB).
Positions (direct):
Bi: 0.000 0.000 0.767  0.04
Bi: 0.000 0.000 0.233  0.04
Sr: 0.500 0.500 0.500  0.00
Gd: 0.500 0.500 0.000  -7.10

Results
SG: P4/mmm (123)
theoretical density: 8.4 g/cm3
volume: 32.680 Å³ per atom

=====

Run b
An optimized crystal structure of SrGdBi2. Source: Alexandria via LeMat-Bulk, functional PBE.

Lattice parameters (Å, degrees): 4.578 4.578 8.421 74.23 74.23 60.00
Each line ends with the local moment (μB).
Positions (direct):
Gd: 0.000 0.000 0.000  6.96
Bi: 0.743 0.743 0.772  -0.08
Bi: 0.257 0.257 0.228  -0.08
Sr: 0.500 0.500 0.500  -0.01

Results
SG: R-3m (166)
theoretical density: 7.6 g/cm3
volume: 36.280 Å³ per atom

=====

Most stable one: run b, least stable one: run a.

=====

Run a
An optimized crystal structure of TbGd2Bi. Source: Alexandria via LeMat-Bulk, functional PBE.

Lattice parameters (Å, degrees): 4.957 4.883 4.883 90.00 90.00 90.00
Each line ends with the local moment (μB).
Positions (direct):
Tb: 0.500 0.500 0.500  0.16
Gd: 0.000 0.000 0.500  7.26
Gd: 0.000 0.500 0.000  7.26
Bi: 0.500 0.000 0.000  -0.05

Results
SG: P4/mmm (123)
theoretical density: 9.6 g/cm3
volume: 29.554 Å³ per atom

=====

Run b
An optimized crystal structure of TbGd2Bi. Source: Alexandria via LeMat-Bulk, functional PBE.

Lattice parameters (Å, degrees): 3.554 3.554 12.322 81.71 81.71 60.00
Each line ends with the local moment (μB).
Positions (direct):
Bi: 0.000 0.000 0.000  -0.04
Tb: 0.500 0.500 0.500  -0.06
Gd: 0.912 0.912 0.263  7.16
Gd: 0.088 0.088 0.737  7.16

Results
SG: R-3m (166)
theoretical density: 8.5 g/cm3
volume: 33.230 Å³ per atom

=====

Most stable one: run a, least stable one: run b.

=====

Run a
An optimized crystal structure of TbGdBi. Source: Alexandria via LeMat-Bulk, functional PBE.

Lattice parameters (Å, degrees): 3.900 5.280 5.280 120.00 90.00 90.00
Each line ends with the local moment (μB).
Positions (direct):
Gd: 0.728 0.333 0.667  7.11
Bi: 0.007 0.000 0.000  -0.04
Tb: 0.265 0.667 0.333  0.08

Results
SG: P3m1 (156)
theoretical density: 9.3 g/cm3
volume: 31.392 Å³ per atom

=====

Run b
An optimized crystal structure of TbGdBi. Source: Alexandria via LeMat-Bulk, functional PBE.

Lattice parameters (Å, degrees): 4.090 4.090 6.106 109.57 109.57 90.00
Each line ends with the local moment (μB).
Positions (direct):
Gd: 0.274 0.274 0.549  -7.28
Tb: 0.961 0.961 0.921  -0.32
Bi: 0.615 0.615 0.230  0.04

Results
SG: I4mm (107)
theoretical density: 9.7 g/cm3
volume: 29.988 Å³ per atom

=====

Most stable one: run b, least stable one: run a.

=====

Run a
An optimized crystal structure of GdThBi. Source: Alexandria via LeMat-Bulk, functional PBE.

Lattice parameters (Å, degrees): 4.115 4.115 6.283 109.12 109.12 90.00
Each line ends with the local moment (μB).
Positions (direct):
Th: 0.627 0.627 0.254  -0.06
Bi: 0.289 0.289 0.577  0.03
Gd: 0.934 0.934 0.869  -7.11

Results
SG: I4mm (107)
theoretical density: 10.5 g/cm3
volume: 31.438 Å³ per atom

=====

Run b
An optimized crystal structure of GdThBi. Source: Alexandria via LeMat-Bulk, functional PBE.

Lattice parameters (Å, degrees): 3.603 5.538 5.538 120.00 90.00 90.00
Each line ends with the local moment (μB).
Positions (direct):
Th: 0.279 0.333 0.667  0.25
Bi: 0.975 0.000 0.000  -0.03
Gd: 0.746 0.667 0.333  7.27

Results
SG: P3m1 (156)
theoretical density: 10.4 g/cm3
volume: 31.902 Å³ per atom

=====

Most stable one: run a, least stable one: run b.

=====

Run a
An optimized crystal structure of Gd2ThBi. Source: Alexandria via LeMat-Bulk, functional PBE.

Lattice parameters (Å, degrees): 4.002 4.002 7.598 90.00 90.00 90.00
Each line ends with the local moment (μB).
Positions (direct):
Gd: 0.000 0.000 0.276  7.06
Gd: 0.000 0.000 0.724  7.06
Bi: 0.500 0.500 0.500  -0.06
Th: 0.500 0.500 0.000  -0.02

Results
SG: P4/mmm (123)
theoretical density: 10.3 g/cm3
volume: 30.420 Å³ per atom

=====

Run b
An optimized crystal structure of Gd2ThBi. Source: Alexandria via LeMat-Bulk, functional PBE.

Lattice parameters (Å, degrees): 4.796 4.991 4.991 90.00 90.00 90.00
Each line ends with the local moment (μB).
Positions (direct):
Gd: 0.000 0.500 0.000  -7.12
Gd: 0.000 0.000 0.500  -7.12
Bi: 0.500 0.000 0.000  0.04
Th: 0.500 0.500 0.500  -0.05

Results
SG: P4/mmm (123)
theoretical density: 10.5 g/cm3
volume: 29.868 Å³ per atom

=====

Most stable one: run a, least stable one: run b.

=====

Run a
An optimized crystal structure of GdTlBi. Source: Alexandria via LeMat-Bulk, functional PBE.

Lattice parameters (Å, degrees): 4.156 4.156 5.962 110.40 110.40 90.00
Each line ends with the local moment (μB).
Positions (direct):
Gd: 0.290 0.290 0.581  -7.30
Bi: 0.945 0.945 0.889  0.01
Tl: 0.615 0.615 0.230  -0.10

Results
SG: I4mm (107)
theoretical density: 10.6 g/cm3
volume: 29.869 Å³ per atom

=====

Run b
An optimized crystal structure of GdTlBi. Source: Alexandria via LeMat-Bulk, functional PBE.

Lattice parameters (Å, degrees): 3.768 5.287 5.287 120.00 90.00 90.00
Each line ends with the local moment (μB).
Positions (direct):
Tl: 0.309 0.667 0.333  0.01
Gd: 0.647 0.333 0.667  7.00
Bi: 0.044 0.000 0.000  -0.04

Results
SG: P3m1 (156)
theoretical density: 10.4 g/cm3
volume: 30.407 Å³ per atom

=====

Most stable one: run a, least stable one: run b.

=====

Run a
An optimized crystal structure of GdTm2Bi. Source: Alexandria via LeMat-Bulk, functional PBE.

Lattice parameters (Å, degrees): 4.794 4.891 4.891 90.00 90.00 90.00
Each line ends with the local moment (μB).
Positions (direct):
Tm: 0.000 0.500 0.000  0.22
Tm: 0.000 0.000 0.500  0.22
Gd: 0.500 0.500 0.500  7.31
Bi: 0.500 0.000 0.000  -0.03

Results
SG: P4/mmm (123)
theoretical density: 10.2 g/cm3
volume: 28.671 Å³ per atom

=====

Run b
An optimized crystal structure of GdTm2Bi. Source: Alexandria via LeMat-Bulk, functional PBE.

Lattice parameters (Å, degrees): 4.070 4.070 7.136 90.00 90.00 90.00
Each line ends with the local moment (μB).
Positions (direct):
Gd: 0.500 0.500 0.500  7.34
Tm: 0.000 0.000 0.234  0.26
Tm: 0.000 0.000 0.766  0.26
Bi: 0.500 0.500 0.000  -0.01

Results
SG: P4/mmm (123)
theoretical density: 9.9 g/cm3
volume: 29.548 Å³ per atom

=====

Most stable one: run a, least stable one: run b.

=====

Run a
An optimized crystal structure of GdTmBi. Source: Alexandria via LeMat-Bulk, functional PBE.

Lattice parameters (Å, degrees): 3.845 5.257 5.257 120.00 90.00 90.00
Each line ends with the local moment (μB).
Positions (direct):
Bi: 0.029 0.000 0.000  -0.04
Tm: 0.254 0.667 0.333  0.09
Gd: 0.718 0.333 0.667  7.11

Results
SG: P3m1 (156)
theoretical density: 9.7 g/cm3
volume: 30.675 Å³ per atom

=====

Run b
An optimized crystal structure of GdTmBi. Source: Alexandria via LeMat-Bulk, functional PBE.

Lattice parameters (Å, degrees): 4.040 4.040 6.141 109.21 109.21 90.00
Each line ends with the local moment (μB).
Positions (direct):
Bi: 0.621 0.621 0.241  -0.04
Gd: 0.958 0.958 0.917  7.27
Tm: 0.271 0.271 0.542  0.34

Results
SG: I4mm (107)
theoretical density: 10.0 g/cm3
volume: 29.579 Å³ per atom

=====

Most stable one: run b, least stable one: run a.